## NiIN2 (PBE-GGA)

Data for NiIN2 after structural relaxation.

The space group is Fm-3m (No. 225) and the conventional cell measures 5.685, 5.685 and 5.685 Å, with angles of 90.00, 90.00 and 90.00 degrees. The distinct sites, in fractional coordinates, are Ni at (0.000, 0.000, 0.000), I at (0.000, 0.000, 0.500) and N at (0.250, 0.250, 0.250).

The density of states at the Fermi level comes out at 0.7365 states/eV per atom. The formation energy without anion corrections is 2.070 eV/atom. The crystal system is cubic. The energy above the most stable polymorph in this dataset comes out at 999 meV/atom. The total energy is -3.926 eV per atom.



## NiI2N (PBE-GGA)

Data for NiI2N after structural relaxation.

The space group is I-42d (No. 122) and the conventional cell measures 5.415, 5.415 and 12.418 Å, with angles of 90.00, 90.00 and 90.00 degrees. The distinct sites, in fractional coordinates, are Ni at (0.000, 0.000, 0.000), I at (0.234, 0.250, 0.625) and N at (0.000, 0.000, 0.500).

The density of states at the Fermi level comes out at 1.7098 states/eV per atom. The formation energy without anion corrections is 1.126 eV/atom. The crystal system is tetragonal. The energy above the most stable polymorph in this dataset comes out at 0 meV/atom. The total energy is -3.176 eV per atom.



## NiI3N (PBE-GGA)

Data for NiI3N after structural relaxation.

The space group is Pm-3m (No. 221) and the conventional cell measures 5.308, 5.308 and 5.308 Å, with angles of 90.00, 90.00 and 90.00 degrees. The distinct sites, in fractional coordinates, are Ni at (0.000, 0.000, 0.000), I at (0.000, 0.000, 0.500) and N at (0.500, 0.500, 0.500).

The density of states at the Fermi level comes out at 0.9375 states/eV per atom. The formation energy without anion corrections is 1.137 eV/atom. The crystal system is cubic. The energy above the most stable polymorph in this dataset comes out at 0 meV/atom. The total energy is -2.614 eV per atom.



## NiI6N6 (PBE-GGA)

Data for NiI6N6 after structural relaxation.

The space group is C2/c (No. 15) and the conventional cell measures 19.475, 13.041 and 5.596 Å, with angles of 90.00, 95.41 and 90.00 degrees. The distinct sites, in fractional coordinates, are Ni at (0.250, 0.250, 0.000), I at (0.000, 0.000, 0.000), I at (0.000, 0.378, 0.250), I at (0.115, 0.213, 0.181), I at (0.236, 0.375, 0.478), N at (0.176, 0.333, 0.111), N at (0.201, 0.217, 0.684) and N at (0.207, 0.133, 0.161).

The density of states at the Fermi level comes out at 0.4733 states/eV per atom. The formation energy without anion corrections is 1.302 eV/atom. The crystal system is monoclinic. The total energy is -3.700 eV per atom.



## NiIN2 (PBE-GGA)

Data for NiIN2 after structural relaxation.

The space group is R-3m (No. 166, hexagonal axes) and the conventional cell measures 3.1573, 3.1573 and 18.2565 Å, with angles of 90.00, 90.00 and 120.00 degrees. The distinct sites, in fractional coordinates, are Ni at (0.0000, 0.0000, 0.0000), I at (0.0000, 0.0000, 0.5000) and N at (0.0000, 0.0000, 0.3801).

The density of states at the Fermi level comes out at 0.3499 states/eV per atom. The formation energy without anion corrections is 1.071 eV/atom. The crystal system is trigonal. The energy above the most stable polymorph in this dataset comes out at 0 meV/atom. The total energy is -4.925 eV per atom.



## NiIN3 (PBE-GGA)

Data for NiIN3 after structural relaxation.

The space group is Pm-3m (No. 221) and the conventional cell measures 3.789, 3.789 and 3.789 Å, with angles of 90.00, 90.00 and 90.00 degrees. The distinct sites, in fractional coordinates, are Ni at (0.000, 0.000, 0.000), I at (0.500, 0.500, 0.500) and N at (0.000, 0.000, 0.500).

The density of states at the Fermi level comes out at 1.0569 states/eV per atom. The formation energy without anion corrections is 1.919 eV/atom. The crystal system is cubic. The total energy is -4.543 eV per atom.



## NiI2N (PBE-GGA)

Data for NiI2N after structural relaxation.

The space group is Fm-3m (No. 225) and the conventional cell measures 6.604, 6.604 and 6.604 Å, with angles of 90.00, 90.00 and 90.00 degrees. The distinct sites, in fractional coordinates, are Ni at (0.000, 0.000, 0.000), I at (0.250, 0.250, 0.250) and N at (0.000, 0.000, 0.500).

The density of states at the Fermi level comes out at 2.3741 states/eV per atom. The formation energy without anion corrections is 1.695 eV/atom. The crystal system is cubic. The energy above the most stable polymorph in this dataset comes out at 569 meV/atom. The total energy is -2.607 eV per atom.



## NiIN2 (PBE-GGA)

Data for NiIN2 after structural relaxation.

The space group is I-42d (No. 122) and the conventional cell measures 5.361, 5.361 and 8.186 Å, with angles of 90.00, 90.00 and 90.00 degrees. The distinct sites, in fractional coordinates, are Ni at (0.000, 0.000, 0.000), I at (0.000, 0.000, 0.500) and N at (0.134, 0.250, 0.125).

The density of states at the Fermi level comes out at 0.9011 states/eV per atom. The formation energy without anion corrections is 1.271 eV/atom. The crystal system is tetragonal. The energy above the most stable polymorph in this dataset comes out at 201 meV/atom. The total energy is -4.724 eV per atom.